! GGA-PBE Tb3NdErSc, optimized geometry; values from VASP
&SYSTEM
  ibrav = 0, nat = 12, ntyp = 4
/
ATOMIC_SPECIES
Er 167.26 Er.upf
Tb 158.93 Tb.upf
Sc 44.96 Sc.upf
Nd 144.24 Nd.upf
ATOMIC_POSITIONS crystal
Er 0.0000 0.0000 0.0000
Tb 0.8304 0.6609 0.2500
Er 0.0000 0.0000 0.5000
Sc 0.8320 0.6641 0.7500
Nd 0.4970 0.9940 0.7500
Tb 0.6674 0.3349 0.0002
Tb 0.6674 0.3349 0.4998
Nd 0.5030 0.0060 0.2500
Tb 0.3326 0.6651 0.9998
Tb 0.3326 0.6651 0.5002
Tb 0.1696 0.3391 0.7500
Sc 0.1680 0.3359 0.2500
CELL_PARAMETERS angstrom
4.9712 0.0000 0.0000
-2.4856 7.4596 0.0000
0.0000 0.0000 10.0041
! * raw total energy: -4.889 eV per atom
! * D(E_F): 17.77 states/eV per cell
! * ΔE_f: 0.037 eV/atom

! GGA-PBE Tb5NdErSc2, optimized geometry; values from VASP
&SYSTEM
  ibrav = 0, nat = 18, ntyp = 4
/
ATOMIC_SPECIES
Nd 144.24 Nd.upf
Sc 44.96 Sc.upf
Er 167.26 Er.upf
Tb 158.93 Tb.upf
ATOMIC_POSITIONS crystal
Nd 0.8161 0.6323 0.5183
Sc 0.8863 0.7725 0.8267
Er 0.5970 0.1941 0.9196
Tb 0.7338 0.4676 0.8316
Tb 0.2662 0.5324 0.3316
Tb 0.6932 0.3865 0.2181
Sc 0.1137 0.2275 0.3267
Nd 0.1839 0.3677 0.0183
Tb 0.6074 0.2147 0.5473
Tb 0.0097 0.0194 0.0131
Er 0.4030 0.8059 0.4196
Sc 0.8645 0.7289 0.2011
Tb 0.9903 0.9806 0.5131
Tb 0.3926 0.7853 0.0473
Tb 0.3068 0.6135 0.7181
Tb 0.5320 0.0640 0.2483
Tb 0.4680 0.9360 0.7483
Sc 0.1355 0.2711 0.7011
CELL_PARAMETERS angstrom
-3.0033 -2.5742 -3.9795
0.7499 -7.4764 8.2258
-7.8684 3.3558 3.7674
! * raw total energy: -4.849 eV per atom
! * D(E_F): 26.82 states/eV per cell
! * ΔE_f: 0.167 eV/atom

! GGA-PBE TbNd2Er6Sc3, optimized geometry; values from VASP
&SYSTEM
  ibrav = 0, nat = 12, ntyp = 4
/
ATOMIC_SPECIES
Er 167.26 Er.upf
Tb 158.93 Tb.upf
Nd 144.24 Nd.upf
Sc 44.96 Sc.upf
ATOMIC_POSITIONS crystal
Er 0.4203 0.0874 0.2616
Tb 0.0000 0.0000 0.0000
Er 0.5797 0.9126 0.7384
Nd 0.6668 0.3332 0.0000
Er 0.2455 0.2455 0.7385
Nd 0.3332 0.6668 0.0000
Er 0.7545 0.7545 0.2615
Er 0.0874 0.4203 0.2616
Er 0.9126 0.5797 0.7384
Sc 0.8336 0.1664 0.5000
Sc 0.1664 0.8336 0.5000
Sc 0.5000 0.5000 0.5000
CELL_PARAMETERS angstrom
6.0496 -0.0002 0.0048
-3.0235 5.2398 0.0048
-1.0170 -1.7609 11.2894
! * raw total energy: -4.999 eV per atom
! * D(E_F): 17.71 states/eV per cell
! * ΔE_f: 0.046 eV/atom

! GGA-PBE TbNd2Er5Sc, optimized geometry; values from VASP
&SYSTEM
  ibrav = 0, nat = 18, ntyp = 4
/
ATOMIC_SPECIES
Er 167.26 Er.upf
Tb 158.93 Tb.upf
Nd 144.24 Nd.upf
Sc 44.96 Sc.upf
ATOMIC_POSITIONS crystal
Er 0.5179 0.0357 0.2400
Er 0.0165 0.0331 0.0186
Tb 0.5900 0.1800 0.9583
Er 0.3762 0.7523 0.0195
Er 0.2759 0.5519 0.3208
Nd 0.1152 0.2303 0.7344
Nd 0.8848 0.7697 0.2344
Er 0.4821 0.9643 0.7400
Er 0.6238 0.2477 0.5195
Nd 0.1127 0.2254 0.3147
Tb 0.4100 0.8200 0.4583
Er 0.9835 0.9669 0.5186
Nd 0.8873 0.7746 0.8147
Sc 0.8036 0.6072 0.5144
Er 0.2986 0.5972 0.7032
Sc 0.1964 0.3928 0.0144
Er 0.7241 0.4481 0.8208
Er 0.7014 0.4028 0.2032
CELL_PARAMETERS angstrom
-3.5668 -0.4483 4.2156
-2.8162 -7.1984 -6.7888
6.3099 -6.8195 4.6134
! * raw total energy: -4.656 eV per atom
! * D(E_F): 24.56 states/eV per cell
! * ΔE_f: 0.156 eV/atom

! GGA-PBE Tb3NdEr6Sc2, optimized geometry; values from VASP
&SYSTEM
  ibrav = 0, nat = 12, ntyp = 4
/
ATOMIC_SPECIES
Tb 158.93 Tb.upf
Er 167.26 Er.upf
Sc 44.96 Sc.upf
Nd 144.24 Nd.upf
ATOMIC_POSITIONS crystal
Tb 0.5000 0.5000 0.5000
Er 0.2536 0.2536 0.7539
Tb 0.1672 0.8328 0.5000
Er 0.7464 0.7464 0.2461
Sc 0.6667 0.3333 0.0000
Tb 0.8328 0.1672 0.5000
Sc 0.3333 0.6667 0.0000
Er 0.4185 0.0827 0.2463
Er 0.0827 0.4185 0.2463
Nd 0.0000 0.0000 0.0000
Er 0.9173 0.5815 0.7537
Er 0.5815 0.9173 0.7537
CELL_PARAMETERS angstrom
6.0472 0.0017 0.0083
-3.0207 5.2387 0.0083
-1.0211 -1.7680 11.4085
! * raw total energy: -4.855 eV per atom
! * D(E_F): 16.58 states/eV per cell
! * ΔE_f: 0.037 eV/atom

! GGA-PBE Tb3Nd6Er2Sc, optimized geometry; values from VASP
&SYSTEM
  ibrav = 0, nat = 12, ntyp = 4
/
ATOMIC_SPECIES
Tb 158.93 Tb.upf
Nd 144.24 Nd.upf
Er 167.26 Er.upf
Sc 44.96 Sc.upf
ATOMIC_POSITIONS crystal
Tb 0.5000 0.5000 0.5000
Tb 0.1667 0.8333 0.5000
Tb 0.8333 0.1667 0.5000
Nd 0.2488 0.2488 0.7536
Nd 0.9180 0.5874 0.7538
Nd 0.5874 0.9180 0.7538
Nd 0.7512 0.7512 0.2464
Er 0.3333 0.6667 0.0000
Nd 0.4126 0.0820 0.2462
Nd 0.0820 0.4126 0.2462
Sc 0.0000 0.0000 0.0000
Er 0.6667 0.3333 0.0000
CELL_PARAMETERS angstrom
6.2381 -0.0005 0.0049
-3.1179 5.4030 0.0049
-1.0465 -1.8119 11.5719
! * raw total energy: -4.806 eV per atom
! * D(E_F): 13.28 states/eV per cell
! * ΔE_f: 0.024 eV/atom

! GGA-PBE Tb2NdEr2Sc2, optimized geometry; values from VASP
&SYSTEM
  ibrav = 0, nat = 7, ntyp = 4
/
ATOMIC_SPECIES
Sc 44.96 Sc.upf
Er 167.26 Er.upf
Tb 158.93 Tb.upf
Nd 144.24 Nd.upf
ATOMIC_POSITIONS crystal
Sc 0.6520 0.3041 0.3938
Sc 0.3480 0.6959 0.6062
Er 0.2127 0.4254 0.7914
Er 0.7873 0.5746 0.2086
Tb 0.4273 0.8546 0.0833
Nd 0.0000 0.0000 0.5000
Tb 0.5727 0.1454 0.9167
CELL_PARAMETERS angstrom
3.3891 0.0000 0.0000
-1.6946 8.6016 -0.4815
0.0000 -3.2660 7.5349
! * raw total energy: -4.935 eV per atom
! * D(E_F): 11.88 states/eV per cell
! * ΔE_f: 0.182 eV/atom

! GGA-PBE Tb2NdErSc, optimized geometry; values from VASP
&SYSTEM
  ibrav = 0, nat = 10, ntyp = 4
/
ATOMIC_SPECIES
Tb 158.93 Tb.upf
Nd 144.24 Nd.upf
Er 167.26 Er.upf
Sc 44.96 Sc.upf
ATOMIC_POSITIONS crystal
Tb 0.5000 0.7517 0.0000
Tb 0.0000 0.2483 0.0000
Nd 0.7500 0.3376 0.6753
Er 0.7500 0.7516 0.5032
Er 0.2500 0.2484 0.4968
Nd 0.2500 0.6624 0.3247
Tb 0.5000 0.2483 0.0000
Sc 0.2500 0.8464 0.6927
Sc 0.7500 0.1536 0.3073
Tb 0.0000 0.7517 0.0000
CELL_PARAMETERS angstrom
-1.9331 -3.1826 -5.1508
5.8045 -2.5268 -0.6172
-5.0809 -4.8663 4.9137
! * raw total energy: -4.616 eV per atom
! * D(E_F): 14.95 states/eV per cell
! * ΔE_f: 0.369 eV/atom

! GGA-PBE Tb6NdEr2Sc, optimized geometry; values from VASP
&SYSTEM
  ibrav = 0, nat = 20, ntyp = 4
/
ATOMIC_SPECIES
Tb 158.93 Tb.upf
Sc 44.96 Sc.upf
Nd 144.24 Nd.upf
Er 167.26 Er.upf
ATOMIC_POSITIONS crystal
Tb 0.9451 0.8727 0.2281
Sc 0.2500 0.4234 0.5766
Tb 0.3943 0.5194 0.2838
Tb 0.1057 0.7162 0.4806
Tb 0.6945 0.9880 0.5528
Sc 0.7500 0.5766 0.4234
Tb 0.6057 0.4806 0.7162
Tb 0.1945 0.5528 0.9880
Nd 0.2500 0.9688 0.0312
Er 0.5548 0.2081 0.3148
Tb 0.3055 0.0120 0.4472
Er 0.0548 0.3148 0.2081
Tb 0.4451 0.2281 0.8727
Er 0.4452 0.7919 0.6852
Tb 0.8055 0.4472 0.0120
Er 0.9452 0.6852 0.7919
Nd 0.7500 0.0312 0.9688
Tb 0.5549 0.7719 0.1273
Tb 0.0549 0.1273 0.7719
Tb 0.8943 0.2838 0.5194
CELL_PARAMETERS angstrom
8.7362 -1.7549 -1.8212
0.9797 8.5560 -1.9725
0.9797 -2.2882 8.4770
! * raw total energy: -4.673 eV per atom
! * D(E_F): 28.77 states/eV per cell
! * ΔE_f: 0.128 eV/atom

! GGA-PBE Tb3Nd2Er6Sc, optimized geometry; values from VASP
&SYSTEM
  ibrav = 0, nat = 12, ntyp = 4
/
ATOMIC_SPECIES
Tb 158.93 Tb.upf
Nd 144.24 Nd.upf
Sc 44.96 Sc.upf
Er 167.26 Er.upf
ATOMIC_POSITIONS crystal
Tb 0.8336 0.1664 0.5000
Nd 0.6663 0.3337 0.0000
Sc 0.0000 0.0000 0.0000
Er 0.0831 0.4134 0.2498
Tb 0.5000 0.5000 0.5000
Nd 0.3337 0.6663 0.0000
Tb 0.1664 0.8336 0.5000
Er 0.4134 0.0831 0.2498
Er 0.7527 0.7527 0.2503
Er 0.5866 0.9169 0.7502
Er 0.2473 0.2473 0.7497
Er 0.9169 0.5866 0.7502
CELL_PARAMETERS angstrom
6.1065 0.0001 0.0036
-3.0517 5.2893 0.0036
-1.0221 -1.7697 11.5172
! * raw total energy: -4.735 eV per atom
! * D(E_F): 15.33 states/eV per cell
! * ΔE_f: 0.026 eV/atom

! GGA-PBE TbNd2Er4Sc, optimized geometry; values from VASP
&SYSTEM
  ibrav = 0, nat = 8, ntyp = 4
/
ATOMIC_SPECIES
Er 167.26 Er.upf
Tb 158.93 Tb.upf
Nd 144.24 Nd.upf
Sc 44.96 Sc.upf
ATOMIC_POSITIONS crystal
Er 0.5000 0.2545 0.7454
Er 0.5000 0.7455 0.2546
Tb 0.5000 0.5000 0.0000
Nd 0.0000 0.0000 0.0000
Sc 0.0000 0.5000 0.5000
Nd 0.5000 0.0000 0.5000
Er 0.0000 0.2451 0.2549
Er 0.0000 0.7549 0.7451
CELL_PARAMETERS angstrom
5.0042 0.0000 0.0000
0.0000 4.9012 0.9980
0.0000 2.9228 10.7229
! * raw total energy: -4.808 eV per atom
! * D(E_F): 11.86 states/eV per cell
! * ΔE_f: 0.036 eV/atom

! GGA-PBE Tb6NdEr2Sc3, optimized geometry; values from VASP
&SYSTEM
  ibrav = 0, nat = 12, ntyp = 4
/
ATOMIC_SPECIES
Tb 158.93 Tb.upf
Nd 144.24 Nd.upf
Sc 44.96 Sc.upf
Er 167.26 Er.upf
ATOMIC_POSITIONS crystal
Tb 0.4207 0.0868 0.2597
Nd 0.0000 0.0000 0.0000
Sc 0.5000 0.5000 0.5000
Sc 0.1671 0.8329 0.5000
Tb 0.5793 0.9132 0.7403
Er 0.3335 0.6665 0.0000
Tb 0.7530 0.7530 0.2599
Tb 0.9132 0.5793 0.7403
Tb 0.0868 0.4207 0.2597
Er 0.6665 0.3335 0.0000
Tb 0.2470 0.2470 0.7401
Sc 0.8329 0.1671 0.5000
CELL_PARAMETERS angstrom
-2.6101 4.1420 3.5721
0.8032 -5.6594 2.0135
10.7450 3.3904 2.2107
! * raw total energy: -5.011 eV per atom
! * D(E_F): 16.36 states/eV per cell
! * ΔE_f: 0.044 eV/atom